No. 1
GeSbTePd | GGA-PBE | optimized geometry

Cell: 4.520 3.849 5.857 Å, 90.00 94.06 90.00°
Atoms (fractional coordinates):
Sb  0.667  0.500  0.665
Ge  0.159  0.500  0.952
Pd  0.537  0.000  0.983
Te  0.063  0.000  0.283

Computed properties:
total moment = 0.00 μB per formula unit
space group = Pm, No. 6
ΔE_f (raw) = -0.076 eV per atom
DOS(E_F) = 0.422 states/eV per atom
raw total energy = -4.345 eV per atom

=====

No. 2
Sr5RhBr5 | GGA-PBE | optimized geometry

Cell: 6.187 8.179 9.091 Å, 105.99 90.00 112.22°
Atoms (fractional coordinates):
Rh  0.000  0.000  0.000
Br  0.690  0.380  0.853
Br  0.289  0.579  0.653
Br  0.000  0.000  0.500
Br  0.711  0.421  0.347
Sr  0.500  0.000  0.000
Sr  0.135  0.270  0.841
Br  0.310  0.620  0.147
Sr  0.865  0.730  0.159
Sr  0.145  0.290  0.305
Sr  0.855  0.710  0.695

Computed properties:
total moment = 0.67 μB per formula unit
space group = C2/m, No. 12
ΔE_f (raw) = -1.477 eV per atom
DOS(E_F) = 0.481 states/eV per atom
raw total energy = -3.670 eV per atom

=====

No. 3
TlIrF6 | GGA-PBE | optimized geometry

Cell: 5.596 5.596 6.159 Å, 62.98 62.98 60.00°
Last column: magnetic moment on the atom in μB.
Atoms (fractional coordinates):
Tl  0.500  0.500  0.500  0.02
F  0.912  0.912  0.785  0.11
F  0.392  0.912  0.785  0.11
F  0.088  0.608  0.215  0.11
Ir  0.000  0.000  0.000  1.23
F  0.608  0.088  0.215  0.11
F  0.912  0.392  0.785  0.11
F  0.088  0.088  0.215  0.11

Computed properties:
total moment = 2.00 μB per formula unit
space group = R-3m, No. 166
ΔE_f (raw) = -1.648 eV per atom
DOS(E_F) = 0.893 states/eV per atom
raw total energy = -4.455 eV per atom